Entry 1:
Density functional theory data (PBE) for a relaxed Ti2Fe2Sb crystal.

M_tot = 5.52 Bohr magnetons per cell
Formation energy (no corrections) = -175 meV/atom

abc: 6.859 6.859 3.243
angles: 90.00 90.00 90.00
Fractional positions:
Ti 0.177 0.323 0.000
Ti 0.323 0.823 0.000
Ti 0.677 0.177 0.000
Ti 0.823 0.677 0.000
Fe 0.118 0.618 0.500
Fe 0.382 0.118 0.500
Fe 0.618 0.882 0.500
Fe 0.882 0.382 0.500
Sb 0.000 0.000 0.500
Sb 0.500 0.500 0.500

Entry 2:
Density functional theory data (PBE) for a relaxed Cr4Pt5Rh4 crystal.

Formation energy = -3.8 kcal/mol of atoms
M_tot = 8.59 Bohr magnetons per cell

abc: 7.208 7.208 7.208
angles: 94.15 94.15 148.77
Fractional positions:
Cr 0.145 0.765 0.910
Cr 0.235 0.145 0.380
Cr 0.765 0.855 0.620
Cr 0.855 0.235 0.090
Pt 0.000 0.000 0.000
Pt 0.305 0.550 0.855
Pt 0.450 0.305 0.755
Pt 0.550 0.695 0.245
Pt 0.695 0.450 0.145
Rh 0.082 0.382 0.465
Rh 0.382 0.918 0.300
Rh 0.618 0.082 0.700
Rh 0.918 0.618 0.535

Entry 3:
Density functional theory data (PBE) for a relaxed SrLa2PbO6 crystal.

M_tot = 0.00 Bohr magnetons per cell
Formation energy (no corrections) = -2545 meV/atom

abc: 6.340 6.340 6.340
angles: 57.75 57.75 57.75
Fractional positions:
Sr 0.000 0.000 0.000
La 0.274 0.274 0.274
La 0.775 0.775 0.775
Pb 0.489 0.489 0.489
O 0.114 0.664 0.397
O 0.211 0.593 0.854
O 0.397 0.114 0.664
O 0.593 0.854 0.211
O 0.664 0.397 0.114
O 0.854 0.211 0.593